Below is a relaxed HoTm2Tl3CuNi2 crystal, with properties calculated at the GGA-PBE level.

The structure in POSCAR format:
```
HoTm2Tl3CuNi2
1.0
3.756 0.000 0.000
0.000 6.539 3.771
0.000 -6.539 3.771
Ho Tm Ni Tl Cu
1 2 2 3 1
direct
0.000 0.410 0.410
0.000 0.590 0.000
0.000 0.000 0.590
0.500 0.668 0.333
0.500 0.333 0.668
0.500 0.266 0.999
0.500 0.735 0.735
0.500 0.999 0.266
0.000 0.999 0.999
```

## Properties
- calculated volume (Å³ per cell) = 185.2
- total DFT energy (no corrections) (eV per atom) = -4.27
- theoretical density (g cm⁻³) = 11.6
- symmetry = Amm2

***

Below is a relaxed Ho3Zn3CuNi2 crystal, with properties calculated at the GGA-PBE level.

The structure in POSCAR format:
```
Ho3Zn3CuNi2
1.0
-6.932 -0.300 1.299
3.837 -5.925 -0.074
0.668 0.387 3.655
Ho Ni Cu Zn
3 2 1 3
direct
0.415 0.000 0.000
0.585 0.585 0.000
0.000 0.415 0.000
0.667 0.333 0.500
0.333 0.667 0.500
0.000 0.000 0.000
0.248 0.248 0.500
0.000 0.752 0.500
0.752 0.000 0.500
```

## Properties
- calculated volume (Å³ per cell) = 161.2
- theoretical density (g cm⁻³) = 9.0
- ΔE_f (meV/atom) = -441.6
- symmetry = P-62m